No. 1
Entry from Alexandria: a geometry-optimized Rb2BC structure (PBE).

Results
**Formation enthalpy at 0 K**: 208.9 kJ/mol of atoms
**Density of states at the Fermi level**: 4.93 states/eV/f.u.

abc: 5.4412 5.4412 5.4412
angles: 60.00 60.00 60.00
Last column: nearest neighbours and their distance in Å.
Fractional positions:
Rb1 0.7500 0.7500 0.7500  4 B 3.33, 4 C 3.33
Rb2 0.2500 0.2500 0.2500  4 C 3.33, 4 B 3.33
B1 0.0000 0.0000 0.0000  8 Rb 3.33
C1 0.5000 0.5000 0.5000  8 Rb 3.33

***

No. 2
Entry from Alexandria: a geometry-optimized Mg2Br structure (PBE).

Results
**Formation energy from raw total energies**: -0.3666 eV/atom
**Density of states at the Fermi level**: 0.60 states/eV/f.u.

abc: 8.3200 8.3200 3.4675
angles: 90.00 90.00 140.12
Last column: nearest neighbours and their distance in Å.
Fractional positions:
Mg1 0.5874 0.4126 0.2500  6 Mg 3.24-3.47, 4 Br 3.33
Mg2 0.4126 0.5874 0.7500  6 Mg 3.24-3.47, 4 Br 3.33
Mg3 0.2324 0.7676 0.2500  2 Br 2.71
Mg4 0.7676 0.2324 0.7500  2 Br 2.71
Br1 0.9008 0.0992 0.2500  2 Mg 2.71
Br2 0.0992 0.9008 0.7500  2 Mg 2.71

***

No. 3
Entry from Alexandria: a geometry-optimized KCrRe structure (PBE).

Results
**Formation enthalpy at 0 K**: 161.6 kJ/mol of atoms
**Density of states at the Fermi level**: 2.17 states/eV/f.u.

abc: 5.0597 5.0597 2.6897
angles: 90.00 90.00 120.00
Last column: nearest neighbours and their distance in Å.
Fractional positions:
K1 0.6667 0.3333 0.3314  2 K 2.69
Cr1 0.0000 0.0000 0.9742  2 Cr 2.69
Re1 0.3333 0.6667 0.6944  2 Re 2.69